1.
## SrMg6ZnCu (PBE)

Data for a relaxed SrMg6ZnCu crystal.

POSCAR file:
```
SrMg6ZnCu
1.0
-3.7534 4.8405 6.2312
3.7534 -4.8405 6.2312
3.7534 4.8405 -6.2312
Sr Mg Zn Cu
2 12 2 2
direct
0.4399 0.1899 0.2500
0.5601 0.8101 0.7500
0.1066 0.4184 0.2780
0.1066 0.8286 0.6883
0.1623 0.9123 0.2500
0.2623 0.5123 0.7500
0.3596 0.1714 0.7780
0.3596 0.5816 0.1883
0.6404 0.4184 0.8117
0.6404 0.8286 0.2220
0.7377 0.4877 0.2500
0.8377 0.0877 0.7500
0.8934 0.1714 0.3117
0.8934 0.5816 0.7220
0.0000 0.0000 0.5000
0.0000 0.5000 0.0000
0.0000 0.0000 0.0000
0.5000 0.0000 0.5000
```

Values from the calculation:
Space-group type = Imma (74)

=====

2.
## Na3YTe (PBE)

Data for a relaxed Na3YTe crystal.

POSCAR file:
```
Na3YTe
1.0
5.8735 0.0000 0.0000
0.0000 5.8735 0.0000
0.0000 0.0000 5.8735
Na Y Te
3 1 1
direct
0.0000 0.0000 0.5000
0.0000 0.5000 0.0000
0.5000 0.0000 0.0000
0.5000 0.5000 0.5000
0.0000 0.0000 0.0000
```

Values from the calculation:
Offset from the most stable computed form = 0.0 meV per atom
Space-group type = Pm-3m (221)
Energy relative to the elements, uncorrected = 0.10 eV per atom

=====

3.
## KLaFe (PBE)

Data for a relaxed KLaFe crystal.

POSCAR file:
```
KLaFe
1.0
4.1992 0.0000 0.0000
-2.0996 3.6366 0.0000
0.0000 0.0000 6.3970
K La Fe
1 1 1
direct
0.0000 0.0000 0.0000
0.6667 0.3333 0.5000
0.3333 0.6667 0.5000
```

Values from the calculation:
Offset from the most stable computed form = 146.9 meV per atom
Space-group type = P-6m2 (187)

=====

4.
## Cr2C (PBE)

Data for a relaxed Cr2C crystal.

POSCAR file:
```
Cr2C
1.0
2.8572 0.0000 0.0000
-1.4286 2.4744 0.0000
0.0000 0.0000 8.7947
Cr C
4 2
direct
0.3333 0.6667 0.1237
0.3333 0.6667 0.3763
0.6667 0.3333 0.6237
0.6667 0.3333 0.8763
0.0000 0.0000 0.0000
0.0000 0.0000 0.5000
```

Values from the calculation:
Space-group type = P6_3/mmc (194)

=====

| no. | DFT total energy (eV per formula unit) |
| --- | --- |
| 1 | -16.0 |
| 2 | -13.0 |
| 3 | -12.2 |
| 4 | -28.0 |